[1]
A plane-wave DFT calculation with PBE was carried out for crystalline Ce2GaAg at its relaxed geometry.

## Properties
- E_form: -277 meV/atom

a b c (Å): 4.4367 4.4367 4.5878
angles (deg): 90.00 90.00 90.00
Space group P4/mmm (No. 123)
Asymmetric unit:
Ce 0.0000 0.5000 0.0000 (multiplicity 2)
Ga 0.0000 0.0000 0.5000 (multiplicity 1)
Ag 0.5000 0.5000 0.5000 (multiplicity 1)

[2]
A plane-wave DFT calculation with PBE was carried out for crystalline CeGaAgGe at its relaxed geometry.

## Properties
- E_form: -350 meV/atom
- Distance to the lowest polymorph of the same formula: 0 kJ/mol of formula units

a b c (Å): 4.2152 4.2152 9.9582
angles (deg): 90.00 90.00 90.00
Space group P4/nmm (No. 129, origin choice 2)
Asymmetric unit:
Ce 0.2500 0.2500 0.1880 (multiplicity 2)
Ga 0.2500 0.2500 0.6603 (multiplicity 2)
Ag 0.2500 0.7500 0.5000 (multiplicity 2)
Ge 0.2500 0.2500 0.9011 (multiplicity 2)

Computed values of total moment (unit: μB/atom) for the preceding records, in sequence: 0.002, 0.131.
Computed values of final energy (unit: eV per atom) for the preceding records, in sequence: -4.713, -4.458.